Density functional theory data (PBE) for crystalline Pa2GeH4 at its relaxed geometry.

abc: 3.748 7.036 7.036
angles: 90.00 90.00 90.00
Fractional positions:
H1 0.500 0.406 0.836
H2 0.000 0.664 0.906
H3 0.500 0.164 0.594
H4 0.000 0.336 0.094
H5 0.000 0.094 0.336
H6 0.000 0.906 0.664
H7 0.500 0.594 0.164
H8 0.500 0.836 0.406
Pa1 0.500 0.717 0.717
Pa2 0.000 0.783 0.217
Pa3 0.500 0.283 0.283
Pa4 0.000 0.217 0.783
Ge1 0.500 0.000 0.000
Ge2 0.000 0.500 0.500

Results
DFT total energy   -5.601 eV per atom
M_tot   0.157 μB per atom

=====

Density functional theory data (PBE) for crystalline Pa2GeH at its relaxed geometry.

abc: 3.141 6.753 7.122
angles: 90.00 90.00 103.45
Fractional positions:
Pa1 0.640 0.280 0.005
Pa2 0.360 0.720 0.505
Pa3 0.360 0.720 0.995
Pa4 0.640 0.280 0.495
H1 0.225 0.449 0.250
H2 0.775 0.551 0.750
Ge1 0.996 0.991 0.250
Ge2 0.004 0.009 0.750

Results
Offset from the most stable computed form   0.00 eV per formula unit
M_tot   0.002 μB per atom

=====

Density functional theory data (PBE) for crystalline Pa5Ge2H at its relaxed geometry.

abc: 6.638 6.638 6.131
angles: 122.88 122.87 89.89
Fractional positions:
Pa1 0.253 0.253 0.999
Pa2 0.745 0.253 0.998
Pa3 0.745 0.745 0.997
Pa4 0.253 0.745 0.998
Pa5 0.748 0.748 0.497
Ge1 0.749 0.248 0.497
Ge2 0.248 0.749 0.497
H1 0.036 0.036 0.072

Results
DFT total energy   -7.687 eV per atom
M_tot   0.000 μB per atom

=====

Density functional theory data (PBE) for crystalline Pa2GeH at its relaxed geometry.

abc: 3.260 3.260 6.696
angles: 90.00 90.00 90.00
Fractional positions:
Pa1 0.000 0.000 0.798
Pa2 0.000 0.000 0.202
H1 0.500 0.500 0.000
Ge1 0.500 0.500 0.500

Results
Offset from the most stable computed form   0.52 eV per formula unit
M_tot   0.009 μB per atom

=====

Density functional theory data (PBE) for crystalline Pa5Ge5H2 at its relaxed geometry.

abc: 3.887 7.387 8.890
angles: 94.58 77.37 74.75
Fractional positions:
Ge1 0.748 0.335 0.169
Ge2 0.068 0.229 0.635
Ge3 0.252 0.665 0.831
Ge4 0.932 0.771 0.365
Ge5 0.000 0.000 0.000
Pa1 0.500 0.500 0.500
Pa2 0.591 0.718 0.099
Pa3 0.684 0.932 0.700
Pa4 0.409 0.282 0.901
Pa5 0.316 0.068 0.300
H1 0.885 0.615 0.615
H2 0.115 0.385 0.385

Results
DFT total energy   -6.756 eV per atom
M_tot   0.012 μB per atom

=====

Density functional theory data (PBE) for crystalline PaGeH2Rh2 at its relaxed geometry.

abc: 5.761 4.868 5.732
angles: 98.90 90.00 90.00
Fractional positions:
Pa1 0.250 0.801 0.324
Pa2 0.750 0.199 0.676
Rh1 0.509 0.290 0.162
Rh2 0.009 0.710 0.838
Rh3 0.491 0.710 0.838
Rh4 0.991 0.290 0.162
H1 0.250 0.602 0.655
H2 0.750 0.706 0.654
H3 0.750 0.398 0.345
H4 0.250 0.294 0.346
Ge1 0.750 0.818 0.197
Ge2 0.250 0.182 0.803

Results
DFT total energy   -6.355 eV per atom
M_tot   0.000 μB per atom

=====

Density functional theory data (PBE) for crystalline PaGeHRh at its relaxed geometry.

abc: 4.364 4.363 3.683
angles: 90.00 90.00 120.01
Fractional positions:
H1 0.238 0.477 0.315
Pa1 0.572 0.144 0.309
Rh1 0.239 0.477 0.818
Ge1 0.905 0.811 0.797

Results
DFT total energy   -6.921 eV per atom
M_tot   0.000 μB per atom

=====

Density functional theory data (PBE) for crystalline PaGeH6Ru3 at its relaxed geometry.

abc: 4.759 4.759 4.759
angles: 82.90 97.10 82.90
Fractional positions:
Pa1 0.560 0.440 0.560
H1 0.694 0.931 0.423
H2 0.694 0.577 0.069
H3 0.069 0.577 0.694
H4 0.423 0.306 0.069
H5 0.069 0.306 0.423
H6 0.423 0.931 0.694
Ru1 0.091 0.909 0.497
Ru2 0.091 0.503 0.091
Ru3 0.497 0.909 0.091
Ge1 0.959 0.041 0.959

Results
DFT total energy   -5.824 eV per atom
M_tot   0.038 μB per atom

=====

Density functional theory data (PBE) for crystalline PaGeHRu at its relaxed geometry.

abc: 4.413 4.413 3.586
angles: 90.00 90.00 120.00
Fractional positions:
H1 0.238 0.477 0.310
Pa1 0.572 0.144 0.310
Ru1 0.239 0.477 0.810
Ge1 0.905 0.811 0.810

Results
DFT total energy   -7.255 eV per atom
M_tot   0.000 μB per atom

=====

Density functional theory data (PBE) for crystalline PaGeH2Ru at its relaxed geometry.

abc: 4.066 5.573 5.801
angles: 90.00 90.00 111.40
Fractional positions:
Ru1 0.000 0.000 0.000
Ru2 0.000 0.000 0.500
Ge1 0.582 0.163 0.250
Ge2 0.418 0.837 0.750
H1 0.165 0.331 0.931
H2 0.835 0.669 0.431
H3 0.165 0.331 0.569
H4 0.835 0.669 0.069
Pa1 0.292 0.584 0.250
Pa2 0.708 0.416 0.750

Results
DFT total energy   -6.485 eV per atom
M_tot   0.000 μB per atom

=====

Density functional theory data (PBE) for crystalline Pa2GeSbH2 at its relaxed geometry.

abc: 3.959 3.959 7.979
angles: 90.00 90.00 120.00
Fractional positions:
Pa1 0.667 0.333 0.270
Pa2 0.333 0.667 0.730
Ge1 0.000 0.000 0.500
Sb1 0.000 0.000 0.000
H1 0.333 0.667 0.260
H2 0.667 0.333 0.740

Results
DFT total energy   -6.260 eV per atom
M_tot   0.000 μB per atom

=====

Density functional theory data (PBE) for crystalline PaTc2GeH2 at its relaxed geometry.

abc: 6.327 4.521 5.872
angles: 111.73 90.00 90.00
Fractional positions:
H1 0.250 0.403 0.321
H2 0.250 0.570 0.604
H3 0.750 0.597 0.679
H4 0.750 0.430 0.396
Tc1 0.980 0.351 0.210
Tc2 0.520 0.351 0.210
Tc3 0.480 0.649 0.790
Tc4 0.020 0.649 0.790
Ge1 0.750 0.822 0.152
Ge2 0.250 0.178 0.848
Pa1 0.250 0.893 0.297
Pa2 0.750 0.107 0.703

Results
DFT total energy   -7.080 eV per atom
M_tot   0.000 μB per atom